(A)
# SrMn3Zn, optimized geometry, DFT PBE
data_SrMn3Zn
_cell_length_a 4.863
_cell_length_b 4.863
_cell_length_c 4.863
_cell_angle_alpha 90.00
_cell_angle_beta 90.00
_cell_angle_gamma 90.00
_space_group_name_H-M_alt 'P 1'
_space_group_IT_number 1
_space_group_name_Hall 'P 1'
loop_
_atom_site_label
_atom_site_fract_x
_atom_site_fract_y
_atom_site_fract_z
Sr1 0.500 0.500 0.500
Zn1 0.000 0.000 0.000
Mn1 0.000 0.500 0.000
Mn2 0.000 0.000 0.500
Mn3 0.500 0.000 0.000
# SG   Pm-3m, No. 221

***

(B)
# SrMn3Zn, optimized geometry, DFT PBE
data_SrMn3Zn
_cell_length_a 5.345
_cell_length_b 5.345
_cell_length_c 5.345
_cell_angle_alpha 90.00
_cell_angle_beta 90.00
_cell_angle_gamma 90.00
_space_group_name_H-M_alt 'P 1'
_space_group_IT_number 1
_space_group_name_Hall 'P 1'
loop_
_atom_site_label
_atom_site_fract_x
_atom_site_fract_y
_atom_site_fract_z
Sr1 0.000 0.000 0.000
Zn1 0.500 0.500 0.500
Mn1 0.000 0.500 0.000
Mn2 0.000 0.000 0.500
Mn3 0.500 0.000 0.000
# SG   Pm-3m, No. 221

***

Structures ranked by computed energy, the most stable listed first: (A), (B).

***

(A)
# Sr2ZrMn, optimized geometry, DFT PBE
data_Sr2ZrMn
_cell_length_a 4.481
_cell_length_b 4.481
_cell_length_c 8.702
_cell_angle_alpha 75.16
_cell_angle_beta 75.16
_cell_angle_gamma 59.98
_space_group_name_H-M_alt 'P 1'
_space_group_IT_number 1
_space_group_name_Hall 'P 1'
loop_
_atom_site_label
_atom_site_fract_x
_atom_site_fract_y
_atom_site_fract_z
Mn1 0.791 0.791 0.625
Sr1 0.033 0.033 0.904
Sr2 0.217 0.217 0.347
Zr1 0.458 0.458 0.625
# SG   Cm, No. 8

***

(B)
# Sr2ZrMn, optimized geometry, DFT PBE
data_Sr2ZrMn
_cell_length_a 3.696
_cell_length_b 3.679
_cell_length_c 10.061
_cell_angle_alpha 68.54
_cell_angle_beta 90.00
_cell_angle_gamma 89.99
_space_group_name_H-M_alt 'P 1'
_space_group_IT_number 1
_space_group_name_Hall 'P 1'
loop_
_atom_site_label
_atom_site_fract_x
_atom_site_fract_y
_atom_site_fract_z
Mn1 0.500 0.818 0.682
Sr1 0.000 0.067 0.933
Sr2 0.500 0.194 0.306
Zr1 0.000 0.420 0.580
# SG   Pmm2, No. 25

***

Structures ranked by computed energy, the most stable listed first: (B), (A).

***

(A)
# Sr2ZrMn2, optimized geometry, DFT PBE
data_Sr2ZrMn2
_cell_length_a 4.392
_cell_length_b 4.392
_cell_length_c 7.454
_cell_angle_alpha 72.87
_cell_angle_beta 72.87
_cell_angle_gamma 90.00
_space_group_name_H-M_alt 'P 1'
_space_group_IT_number 1
_space_group_name_Hall 'P 1'
loop_
_atom_site_label
_atom_site_fract_x
_atom_site_fract_y
_atom_site_fract_z
Sr1 0.750 0.250 0.500
Sr2 0.250 0.750 0.500
Mn1 0.417 0.417 0.166
Mn2 0.583 0.583 0.834
Zr1 0.000 0.000 0.000
# SG   I4/mmm, No. 139

***

(B)
# Sr2ZrMn2, optimized geometry, DFT PBE
data_Sr2ZrMn2
_cell_length_a 6.764
_cell_length_b 6.764
_cell_length_c 5.326
_cell_angle_alpha 90.00
_cell_angle_beta 90.00
_cell_angle_gamma 90.00
_space_group_name_H-M_alt 'P 1'
_space_group_IT_number 1
_space_group_name_Hall 'P 1'
loop_
_atom_site_label
_atom_site_fract_x
_atom_site_fract_y
_atom_site_fract_z
Sr1 0.179 0.679 0.500
Sr2 0.679 0.821 0.500
Sr3 0.821 0.321 0.500
Sr4 0.321 0.179 0.500
Mn1 0.393 0.893 0.000
Mn2 0.893 0.607 0.000
Mn3 0.607 0.107 0.000
Mn4 0.107 0.393 0.000
Zr1 0.000 0.000 0.000
Zr2 0.500 0.500 0.000
# SG   P4/mbm, No. 127

***

Structures ranked by computed energy, the most stable listed first: (B), (A).

***

(A)
# SrZr3Mn, optimized geometry, DFT PBE
data_SrZr3Mn
_cell_length_a 5.042
_cell_length_b 5.042
_cell_length_c 5.042
_cell_angle_alpha 90.00
_cell_angle_beta 90.00
_cell_angle_gamma 90.00
_space_group_name_H-M_alt 'P 1'
_space_group_IT_number 1
_space_group_name_Hall 'P 1'
loop_
_atom_site_label
_atom_site_fract_x
_atom_site_fract_y
_atom_site_fract_z
Sr1 0.500 0.500 0.500
Mn1 0.000 0.000 0.000
Zr1 0.000 0.500 0.000
Zr2 0.000 0.000 0.500
Zr3 0.500 0.000 0.000
# SG   Pm-3m, No. 221

***

(B)
# SrZr3Mn, optimized geometry, DFT PBE
data_SrZr3Mn
_cell_length_a 5.051
_cell_length_b 5.051
_cell_length_c 5.051
_cell_angle_alpha 90.00
_cell_angle_beta 90.00
_cell_angle_gamma 90.00
_space_group_name_H-M_alt 'P 1'
_space_group_IT_number 1
_space_group_name_Hall 'P 1'
loop_
_atom_site_label
_atom_site_fract_x
_atom_site_fract_y
_atom_site_fract_z
Sr1 0.000 0.000 0.000
Mn1 0.500 0.500 0.500
Zr1 0.000 0.500 0.000
Zr2 0.000 0.000 0.500
Zr3 0.500 0.000 0.000
# SG   Pm-3m, No. 221

***

Structures ranked by computed energy, the most stable listed first: (A), (B).